This record from the Alexandria database describes a crystal of MnAu2Se relaxed with PBEsol. The functional is SCAN.

Calculated values
Magnetization ... 3.5 μB per formula unit
E_form (uncorrected) ... -0.36 eV per formula unit
Crystal system ... orthorhombic
SG ... Amm2, No. 38

Lattice parameters (Å, degrees): 2.9488 2.9472 7.8263 100.85 90.00 90.00
With the nearest neighbours (Å) after each atom.
Element x y z (fractional)
Au1 0.0000 0.1763 0.3526  8 Au 2.87-2.95, 2 Se 2.96
Au2 0.5000 0.5477 0.0955  4 Mn 2.78, 8 Au 2.87-2.95
Se1 0.5000 0.3436 0.6871  4 Mn 2.46
Mn1 0.0000 0.9281 0.8563  4 Se 2.46


This record from the Alexandria database describes a crystal of LiSm2Ga relaxed with PBEsol. The functional is SCAN.

Calculated values
Magnetization ... 0.0 μB per formula unit
Crystal system ... cubic
SG ... Fm-3m, No. 225
Formation enthalpy at 0 K ... -0.349 eV/atom

Lattice parameters (Å, degrees): 5.1126 5.1126 5.1126 60.00 60.00 60.00
With the nearest neighbours (Å) after each atom.
Element x y z (fractional)
Li1 0.0000 0.0000 0.0000  8 Sm 3.13
Sm1 0.2500 0.2500 0.2500  4 Li 3.13, 4 Ga 3.13
Sm2 0.7500 0.7500 0.7500  4 Li 3.13, 4 Ga 3.13
Ga1 0.5000 0.5000 0.5000  8 Sm 3.13


This record from the Alexandria database describes a crystal of CoSb2TeAu relaxed with PBEsol. The functional is SCAN.

Calculated values
Magnetization ... 2.3 μB per formula unit
E_form (uncorrected) ... 5.00 eV per formula unit
Crystal system ... tetragonal
SG ... P4/mmm, No. 123

Lattice parameters (Å, degrees): 5.2397 5.2397 5.3919 90.00 90.00 90.00
With the nearest neighbours (Å) after each atom.
Element x y z (fractional)
Sb1 0.5000 0.0000 0.0000  2 Au 2.62
Sb2 0.0000 0.5000 0.0000  2 Au 2.62
Au1 0.0000 0.0000 0.0000  4 Sb 2.62, 2 Te 2.70
Co1 0.5000 0.5000 0.5000  4 Te 3.70, 8 Sb 3.76
Te1 0.0000 0.0000 0.5000  2 Au 2.70


This record from the Alexandria database describes a crystal of Ca2SnS4 relaxed with PBEsol. The functional is SCAN.

Calculated values
E above lowest polymorph ... 72 meV/atom
Magnetization ... 0.0 μB per formula unit
E_form (uncorrected) ... -10.52 eV per formula unit
Crystal system ... orthorhombic
SG ... Ama2, No. 40

Lattice parameters (Å, degrees): 6.0489 6.0489 9.6256 90.00 90.00 110.22
With the nearest neighbours (Å) after each atom.
Element x y z (fractional)
S1 0.8804 0.3472 0.4495  1 Sn 2.39
S2 0.3472 0.8804 0.9495  1 Sn 2.39
S3 0.9264 0.0507 0.7500  1 Sn 2.44, 1 Ca 2.71
S4 0.8804 0.3472 0.0505  1 Sn 2.39
S5 0.5115 0.6212 0.2500  1 Sn 2.38
S6 0.0507 0.9264 0.2500  1 Sn 2.44, 1 Ca 2.71
S7 0.6212 0.5115 0.7500  1 Sn 2.38
S8 0.3472 0.8804 0.5505  1 Sn 2.39
Ca1 0.7949 0.7949 0.0000  6 S 2.82-2.97
Ca2 0.5257 0.1388 0.2500  4 S 2.71-2.95
Ca3 0.1388 0.5257 0.7500  4 S 2.71-2.95
Ca4 0.7949 0.7949 0.5000  6 S 2.82-2.97
Sn1 0.0972 0.5423 0.2500  4 S 2.38-2.44
Sn2 0.5423 0.0972 0.7500  4 S 2.38-2.44


This record from the Alexandria database describes a crystal of CsZn2SnBr relaxed with PBEsol. The functional is SCAN.

Calculated values
Magnetization ... 0.0 μB per formula unit
E_form (uncorrected) ... 2.29 eV per formula unit
Crystal system ... tetragonal
SG ... P4/mmm, No. 123

Lattice parameters (Å, degrees): 5.3829 5.3829 6.2155 90.00 90.00 90.00
With the nearest neighbours (Å) after each atom.
Element x y z (fractional)
Cs1 0.0000 0.0000 0.5000  2 Br 3.11
Zn1 0.0000 0.5000 0.0000  2 Br 2.69
Zn2 0.5000 0.0000 0.0000  2 Br 2.69
Sn1 0.5000 0.5000 0.5000  4 Cs 3.81, 8 Zn 4.11
Br1 0.0000 0.0000 0.0000  4 Zn 2.69


This record from the Alexandria database describes a crystal of KZrSb2 relaxed with PBEsol. The functional is SCAN.

Calculated values
E above lowest polymorph ... 34 meV/atom
Magnetization ... 0.0 μB per formula unit
E_form (uncorrected) ... -2.25 eV per formula unit
Crystal system ... orthorhombic
SG ... Cmmm, No. 65

Lattice parameters (Å, degrees): 3.3653 3.3653 9.4186 90.00 90.00 101.16
With the nearest neighbours (Å) after each atom.
Element x y z (fractional)
Sb1 0.0000 0.0000 0.7137  4 Zr 2.94-3.29
Sb2 0.0000 0.0000 0.2863  4 Zr 2.94-3.29
K1 0.5000 0.5000 0.0000  4 K 3.37, 8 Sb 3.44-3.75
Zr1 0.5000 0.5000 0.5000  8 Sb 2.94-3.29


This record from the Alexandria database describes a crystal of CrBiI2O relaxed with PBEsol. The functional is SCAN.

Calculated values
Magnetization ... 5.2 μB per formula unit
E_form (uncorrected) ... 0.28 eV per formula unit
Crystal system ... tetragonal
SG ... P4/mmm, No. 123

Lattice parameters (Å, degrees): 4.2585 6.1207 6.1207 90.00 90.00 90.00
With the nearest neighbours (Å) after each atom.
Element x y z (fractional)
O1 0.5000 0.0000 0.0000  2 Bi 2.13
Cr1 0.5000 0.5000 0.5000  8 I 3.73
I1 0.0000 0.0000 0.5000  2 Bi 3.06
I2 0.0000 0.5000 0.0000  2 Bi 3.06
Bi1 0.0000 0.0000 0.0000  2 O 2.13


This record from the Alexandria database describes a crystal of ZrTa2Cd relaxed with PBEsol. The functional is SCAN.

Calculated values
Magnetization ... 0.0 μB per formula unit
Crystal system ... tetragonal
SG ... P4/mmm, No. 123
Formation enthalpy at 0 K ... 0.334 eV/atom

Lattice parameters (Å, degrees): 3.4866 3.4866 6.2149 90.00 90.00 90.00
With the nearest neighbours (Å) after each atom.
Element x y z (fractional)
Zr1 0.5000 0.5000 0.0000  8 Ta 2.89, 2 Cd 3.11
Ta1 0.0000 0.0000 0.2429  4 Zr 2.89, 4 Cd 2.94, 2 Ta 3.02-3.20
Ta2 0.0000 0.0000 0.7571  4 Zr 2.89, 4 Cd 2.94, 2 Ta 3.02-3.20
Cd1 0.5000 0.5000 0.5000  8 Ta 2.94, 2 Zr 3.11


This record from the Alexandria database describes a crystal of MgCuSnB2 relaxed with PBEsol. The functional is SCAN.

Calculated values
Magnetization ... 0.0 μB per formula unit
Crystal system ... tetragonal
SG ... P4/mmm, No. 123
Formation enthalpy at 0 K ... 1.021 eV/atom

Lattice parameters (Å, degrees): 3.9012 3.9012 5.4384 90.00 90.00 90.00
With the nearest neighbours (Å) after each atom.
Element x y z (fractional)
Sn1 0.0000 0.0000 0.5000  2 Cu 2.72, 4 Mg 2.76
B1 0.5000 0.0000 0.0000  2 Cu 1.95
B2 0.0000 0.5000 0.0000  2 Cu 1.95
Cu1 0.0000 0.0000 0.0000  4 B 1.95
Mg1 0.5000 0.5000 0.5000  4 Sn 2.76


This record from the Alexandria database describes a crystal of La2HgOs relaxed with PBEsol. The functional is SCAN.

Calculated values
Magnetization ... 0.0 μB per formula unit
Crystal system ... tetragonal
SG ... P4/mmm, No. 123
Formation enthalpy at 0 K ... -0.375 eV/atom

Lattice parameters (Å, degrees): 3.4712 3.4712 8.2596 90.00 90.00 90.00
With the nearest neighbours (Å) after each atom.
Element x y z (fractional)
La1 0.0000 0.0000 0.7874  4 Os 3.02
La2 0.0000 0.0000 0.2126  4 Os 3.02
Os1 0.5000 0.5000 0.0000  8 La 3.02
Hg1 0.5000 0.5000 0.5000  8 La 3.41, 4 Hg 3.47


This record from the Alexandria database describes a crystal of AlFeIr2 relaxed with PBEsol. The functional is SCAN.

Calculated values
Magnetization ... 0.0 μB per formula unit
Crystal system ... tetragonal
SG ... I-42d, No. 122
Formation enthalpy at 0 K ... 0.769 eV/atom

Lattice parameters (Å, degrees): 5.3168 5.3168 6.5837 113.81 113.81 90.00
With the nearest neighbours (Å) after each atom.
Element x y z (fractional)
Al1 0.5000 0.5000 0.0000  4 Ir 2.43
Al2 0.7500 0.2500 0.5000  4 Ir 2.43
Ir1 0.1250 0.0901 0.7500  2 Fe 2.21, 2 Al 2.43
Ir2 0.3401 0.8750 0.2500  2 Fe 2.21, 2 Al 2.43
Ir3 0.9099 0.3750 0.2500  2 Fe 2.21, 2 Al 2.43
Ir4 0.6250 0.6599 0.7500  2 Fe 2.21, 2 Al 2.43
Fe1 0.0000 0.0000 0.0000  4 Ir 2.21
Fe2 0.2500 0.7500 0.5000  4 Ir 2.21


This record from the Alexandria database describes a crystal of BeAu2SeI relaxed with PBEsol. The functional is SCAN.

Calculated values
Magnetization ... 0.0 μB per formula unit
E_form (uncorrected) ... 2.36 eV per formula unit
Crystal system ... tetragonal
SG ... P4/mmm, No. 123

Lattice parameters (Å, degrees): 4.1214 5.1893 5.1893 90.00 90.00 90.00
With the nearest neighbours (Å) after each atom.
Element x y z (fractional)
I1 0.5000 0.5000 0.5000  8 Au 3.31, 4 Be 3.67
Au1 0.0000 0.0000 0.5000  2 Se 2.59
Au2 0.0000 0.5000 0.0000  2 Se 2.59
Be1 0.5000 0.0000 0.0000  2 Se 2.06
Se1 0.0000 0.0000 0.0000  2 Be 2.06


This record from the Alexandria database describes a crystal of TaAgPb2 relaxed with PBEsol. The functional is SCAN.

Calculated values
Magnetization ... 0.0 μB per formula unit
Crystal system ... tetragonal
SG ... I-4m2, No. 119
Formation enthalpy at 0 K ... 0.575 eV/atom

Lattice parameters (Å, degrees): 4.1520 4.1520 5.7101 111.32 111.32 90.00
With the nearest neighbours (Å) after each atom.
Element x y z (fractional)
Pb1 0.7500 0.2500 0.5000  4 Ag 2.94, 4 Ta 3.21, 4 Pb 3.21
Pb2 0.0000 0.0000 0.0000  4 Ta 2.94, 4 Ag 3.21, 4 Pb 3.21
Ta1 0.5000 0.5000 0.0000  8 Pb 2.94-3.21, 4 Ag 3.21
Ag1 0.2500 0.7500 0.5000  8 Pb 2.94-3.21, 4 Ta 3.21